No. 1
Below is a geometry-optimized LiRu2RhSe structure, with properties calculated at the PBE-GGA level.

Lattice parameters (Å, degrees): 4.160 4.125 4.160 90.00 90.00 90.00
Fractional coordinates of all 5 atoms:
Se: 0.000 0.500 0.000
Rh: 0.500 0.500 0.500
Li: 0.000 0.000 0.000
Ru: 0.000 0.000 0.500
Ru: 0.500 0.000 0.000

Calculated values
Space-group type: P4/mmm (123)
Formation energy from raw total energies in eV/atom: 1.025



No. 2
Below is a geometry-optimized LiThRuRh structure, with properties calculated at the PBE-GGA level.

Lattice parameters (Å, degrees): 4.624 4.624 4.624 60.00 60.00 60.00
Fractional coordinates of all 4 atoms:
Ru: 0.750 0.750 0.750
Li: 0.000 0.000 0.000
Rh: 0.250 0.250 0.250
Th: 0.500 0.500 0.500

Calculated values
Space-group type: F-43m (216)
ΔE_f in eV per formula unit: -1.7



No. 3
Below is a geometry-optimized LiTiRuRh structure, with properties calculated at the PBE-GGA level.

Lattice parameters (Å, degrees): 4.249 4.249 4.249 60.00 60.00 60.00
Fractional coordinates of all 4 atoms:
Li: 0.750 0.750 0.750
Ti: 0.250 0.250 0.250
Rh: 0.000 0.000 0.000
Ru: 0.500 0.500 0.500

Calculated values
Space-group type: F-43m (216)
ΔE_f in eV per formula unit: -1.6



No. 4
Below is a geometry-optimized Li2VRuRh structure, with properties calculated at the PBE-GGA level.

Lattice parameters (Å, degrees): 4.162 4.786 4.162 90.00 90.00 90.00
Site moments in Bohr magnetons follow the coordinates.
Fractional coordinates of all 5 atoms:
Li: 0.500 0.000 0.000  0.00
Li: 0.000 0.000 0.500  0.00
V: 0.500 0.500 0.500  -0.10
Ru: 0.000 0.500 0.000  0.15
Rh: 0.000 0.000 0.000  -0.03

Calculated values
Space-group type: P4/mmm (123)
ΔE_f in eV per formula unit: 5.2



No. 5
Below is a geometry-optimized LiRuRhW structure, with properties calculated at the PBE-GGA level.

Lattice parameters (Å, degrees): 4.281 4.281 4.281 60.00 60.00 60.00
Fractional coordinates of all 4 atoms:
Li: 0.000 0.000 0.000
Rh: 0.250 0.250 0.250
Ru: 0.750 0.750 0.750
W: 0.500 0.500 0.500

Calculated values
Space-group type: F-43m (216)
ΔE_f in eV per formula unit: -0.7



No. 6
Below is a geometry-optimized LiZrRuRh structure, with properties calculated at the PBE-GGA level.

Lattice parameters (Å, degrees): 4.428 4.428 4.428 60.00 60.00 60.00
Fractional coordinates of all 4 atoms:
Ru: 0.750 0.750 0.750
Rh: 0.250 0.250 0.250
Li: 0.000 0.000 0.000
Zr: 0.500 0.500 0.500

Calculated values
Space-group type: F-43m (216)
ΔE_f in eV per formula unit: -1.4



no.,DOS(E_F) (states/eV/f.u.)
1,4.70
2,0.65
3,2.70
4,4.78
5,1.15
6,2.59